1.
The following is a DFT calculation (PBE-GGA) of crystalline K2ZrPt at its relaxed geometry.

The value obtained for the formation energy from the elements is 1118 meV per atom. The calculation puts the polymorph energy (0 for the lowest one) at 4.90 eV/f.u.

The structure belongs to space group Fm-3m (No. 225); the cell edges are 7.748, 7.748 and 7.748 Å and the angles 90.00°, 90.00° and 90.00°. The asymmetric unit holds K at (0.250, 0.250, 0.250), Zr at (0.000, 0.000, 0.000) and Pt at (0.000, 0.000, 0.500).

2.
The following is a DFT calculation (PBE-GGA) of crystalline PrAl8Co2 at its relaxed geometry.

The value obtained for the formation energy from the elements is -469 meV per atom. The calculation puts the polymorph energy (0 for the lowest one) at 0.00 eV/f.u.

The structure belongs to space group Pbam (No. 55); the cell edges are 12.478, 14.428 and 4.010 Å and the angles 90.00°, 90.00° and 90.00°. The asymmetric unit holds Pr at (0.159, 0.181, 0.000), Al at (0.000, 0.000, 0.000), Al at (0.000, 0.500, 0.500), Al at (0.027, 0.868, 0.500), Al at (0.047, 0.321, 0.500), Al at (0.096, 0.747, 0.000), Al at (0.159, 0.456, 0.000), Al at (0.159, 0.620, 0.500), Al at (0.169, 0.008, 0.500), Al at (0.237, 0.828, 0.500), Co at (0.035, 0.595, 0.000) and Co at (0.152, 0.904, 0.000).

3.
The following is a DFT calculation (PBE-GGA) of crystalline Be3AsRu at its relaxed geometry.

The value obtained for the formation energy from the elements is 1096 meV per atom. The calculation puts the polymorph energy (0 for the lowest one) at 1.85 eV/f.u.

The structure belongs to space group Pm-3m (No. 221); the cell edges are 4.127, 4.127 and 4.127 Å and the angles 90.00°, 90.00° and 90.00°. The asymmetric unit holds Be at (0.000, 0.000, 0.500), As at (0.000, 0.000, 0.000) and Ru at (0.500, 0.500, 0.500).

4.
The following is a DFT calculation (PBE-GGA) of crystalline LiSmPuGa at its relaxed geometry.

The value obtained for the formation energy from the elements is -93 meV per atom.

The structure belongs to space group F-43m (No. 216); the cell edges are 7.280, 7.280 and 7.280 Å and the angles 90.00°, 90.00° and 90.00°. The asymmetric unit holds Li at (0.000, 0.000, 0.000), Sm at (0.250, 0.250, 0.250), Pu at (0.250, 0.250, 0.750) and Ga at (0.000, 0.000, 0.500).

5.
The following is a DFT calculation (PBE-GGA) of crystalline AlSi3Au at its relaxed geometry.

The formation energy (no corrections) is 0.9477 eV per atom. The calculation puts the polymorph energy (0 for the lowest one) at 0.00 eV/f.u.

The structure belongs to space group Pm-3m (No. 221); the cell edges are 4.693, 4.693 and 4.693 Å and the angles 90.00°, 90.00° and 90.00°. The asymmetric unit holds Al at (0.000, 0.000, 0.000), Si at (0.000, 0.000, 0.500) and Au at (0.500, 0.500, 0.500).

Going through the records in order, we get total DFT energy (no corrections) values of -3.078 -4.918 -3.925 -6.091 -3.710 eV/atom.
Going through the records in order, we get calculated density values of 5.2 4.4 4.8 8.1 5.0 g/cm3.